DFT (PBE-GGA) results for a relaxed YTi2Ni2 crystal.

abc: 7.372 7.372 3.081
angles: 90.00 90.00 90.00
Fractional coordinates of all 10 atoms:
Y  0.000  0.000  0.000
Y  0.500  0.500  0.000
Ni  0.378  0.878  0.000
Ni  0.878  0.622  0.000
Ni  0.622  0.122  0.000
Ni  0.122  0.378  0.000
Ti  0.155  0.655  0.500
Ti  0.655  0.845  0.500
Ti  0.845  0.345  0.500
Ti  0.345  0.155  0.500

## Properties
ΔH_f (0 K): -0.17 eV/atom
electronic total energy: -0.2549 Ha/atom
ΔE to the lowest computed polymorph: 0.129 eV/atom
total magnetic moment: 0.00 μB per formula unit

=====

DFT (PBE-GGA) results for a relaxed Y3TiNi crystal.

abc: 5.223 5.223 5.223
angles: 90.00 90.00 90.00
Fractional coordinates of all 5 atoms:
Y  0.000  0.500  0.000
Y  0.000  0.000  0.500
Y  0.500  0.000  0.000
Ni  0.500  0.500  0.500
Ti  0.000  0.000  0.000

## Properties
ΔH_f (0 K): 0.85 eV/atom
electronic total energy: -0.2117 Ha/atom
ΔE to the lowest computed polymorph: 0.620 eV/atom
total magnetic moment: 0.00 μB per formula unit

=====

Question: What is the ΔE to the lowest computed polymorph in the second record?
Answer: 0.620 eV/atom

=====

Question: Look up the electronic total energy of the second one.
Answer: -0.2117 Ha/atom

=====

Question: electronic total energy of number 2 (Y3TiNi)?
Answer: -0.2117 Ha/atom

=====

Question: Which formula does entry 2 have?
Answer: Y3TiNi